Record 1
Material: Sc3Cd11
Method: DFT, GGA-PBE
State: optimized geometry

a b c (Å): 4.653 8.559 8.559
angles (deg): 80.04 74.23 74.23
Sites, in units of the cell vectors:
Sc  0.279  0.721  0.721
Sc  0.000  0.000  0.000
Sc  0.721  0.279  0.279
Cd  0.847  0.877  0.430
Cd  0.372  0.004  0.252
Cd  0.153  0.123  0.570
Cd  0.500  0.653  0.347
Cd  0.000  0.500  0.500
Cd  0.500  0.347  0.653
Cd  0.153  0.570  0.123
Cd  0.847  0.430  0.877
Cd  0.628  0.996  0.748
Cd  0.628  0.748  0.996
Cd  0.372  0.252  0.004

Summary:
The value obtained for the formation energy is -11.5 kJ per mole of atoms. Its total energy is -2.195 eV per atom. The magnetic moment comes out at 0.0 μB/f.u.


Record 2
Material: ScCd4
Method: DFT, GGA-PBE
State: optimized geometry

a b c (Å): 4.650 5.393 5.393
angles (deg): 79.29 115.54 115.54
Sites, in units of the cell vectors:
Cd  0.798  0.384  0.212
Cd  0.202  0.616  0.788
Cd  0.586  0.788  0.384
Cd  0.414  0.212  0.616
Sc  0.000  0.000  0.000

Summary:
The value obtained for the formation energy is -10.0 kJ per mole of atoms. Its total energy is -2.102 eV per atom. The magnetic moment comes out at 0.0 μB/f.u. The offset from the most stable computed form is 0.10 eV/f.u.


Record 3
Material: Sc5Cd24
Method: DFT, GGA-PBE
State: optimized geometry

a b c (Å): 9.384 9.384 9.384
angles (deg): 109.47 109.47 109.47
Sites, in units of the cell vectors:
Cd  0.000  0.392  0.682
Cd  0.370  0.191  0.000
Cd  0.392  0.682  0.000
Cd  0.191  0.000  0.370
Cd  0.000  0.370  0.191
Cd  0.318  0.710  0.318
Cd  0.179  0.809  0.809
Cd  0.682  0.392  0.000
Cd  0.608  0.290  0.608
Cd  0.821  0.630  0.630
Cd  0.608  0.608  0.290
Cd  0.370  0.000  0.191
Cd  0.710  0.318  0.318
Cd  0.290  0.608  0.608
Cd  0.682  0.000  0.392
Cd  0.318  0.318  0.710
Cd  0.809  0.809  0.179
Cd  0.630  0.630  0.821
Cd  0.000  0.191  0.370
Cd  0.630  0.821  0.630
Cd  0.191  0.370  0.000
Cd  0.392  0.000  0.682
Cd  0.000  0.682  0.392
Cd  0.809  0.179  0.809
Sc  0.000  0.000  0.000
Sc  0.000  0.623  0.000
Sc  0.623  0.000  0.000
Sc  0.000  0.000  0.623
Sc  0.377  0.377  0.377

Summary:
The value obtained for the formation energy is -12.1 kJ per mole of atoms. Its total energy is -1.974 eV per atom. The magnetic moment comes out at 0.0 μB/f.u.


Record 4
Material: Sc2Cd17
Method: DFT, GGA-PBE
State: optimized geometry

a b c (Å): 7.625 7.625 7.625
angles (deg): 81.44 81.44 81.44
Sites, in units of the cell vectors:
Cd  0.305  0.000  0.695
Cd  0.363  0.363  0.839
Cd  0.695  0.305  0.000
Cd  0.305  0.695  0.000
Cd  0.695  0.000  0.305
Cd  0.637  0.637  0.161
Cd  0.161  0.637  0.637
Cd  0.000  0.305  0.695
Cd  0.102  0.102  0.102
Cd  0.000  0.500  0.000
Cd  0.363  0.839  0.363
Cd  0.839  0.363  0.363
Cd  0.000  0.000  0.500
Cd  0.898  0.898  0.898
Cd  0.000  0.695  0.305
Cd  0.637  0.161  0.637
Cd  0.500  0.000  0.000
Sc  0.319  0.319  0.319
Sc  0.681  0.681  0.681

Summary:
The value obtained for the formation energy is -0.9 kJ per mole of atoms. Its total energy is -1.494 eV per atom. The magnetic moment comes out at 0.0 μB/f.u.